A relaxed structure of HoGaNiRu. Source: Alexandria via LeMat-Bulk, functional PBE-GGA.

Cell and atoms, written as extended XYZ:
```
4
Lattice="0.0000 3.1771 3.1771 3.1771 0.0000 3.1771 3.1771 3.1771 0.0000" Properties=species:S:1:pos:R:3 pbc="T T T"
Ho 0.0000 0.0000 0.0000
Ga 3.1771 3.1771 3.1771
Ni 1.5886 1.5886 1.5886
Ru 4.7657 4.7657 4.7657
```

Results
The calculation puts the formation energy at -0.378 eV/atom. The space-group type is F-43m, No. 216. Its density of states at the Fermi level is 1.1 states/eV per cell. The magnetization is 0.00 μB per cell. The theoretical density comes out at 10.21 g/cm³.


A relaxed structure of BeRh5. Source: Alexandria via LeMat-Bulk, functional PBE-GGA.

Cell and atoms, written as extended XYZ:
```
6
Lattice="4.6458 -1.3749 0.0000 4.6458 1.3749 0.0000 -2.3396 0.0000 6.1959" Properties=species:S:1:pos:R:3 pbc="T T T"
Be 0.0000 0.0000 0.0000
Rh -1.1698 0.0000 3.0979
Rh 1.4320 0.0000 4.3205
Rh 3.0320 0.0000 0.8732
Rh 3.9200 0.0000 5.3226
Rh 5.5200 0.0000 1.8754
```

Results
The calculation puts the formation energy at -0.117 eV/atom. The space-group type is C2/m, No. 12. Its density of states at the Fermi level is 8.2 states/eV per cell. Its energy above the most stable polymorph in this dataset is 60.4 meV per atom. The magnetization is 0.00 μB per cell. The theoretical density comes out at 10.98 g/cm³.


A relaxed structure of Sm3ErPb3. Source: Alexandria via LeMat-Bulk, functional PBE-GGA.

Cell and atoms, written as extended XYZ:
```
14
Lattice="9.6141 0.0000 0.0000 -4.8071 8.3261 0.0000 0.0000 0.0000 6.3069" Properties=species:S:1:pos:R:3 pbc="T T T"
Sm -3.0517 5.7591 1.5767
Sm 1.3454 2.8036 1.5767
Sm 3.1007 0.2367 4.7302
Sm 1.7063 8.0894 1.5767
Sm 3.4617 5.5224 4.7302
Sm 7.8588 2.5669 4.7302
Er 0.0000 5.5507 4.7302
Er 4.8071 2.7753 1.5767
Pb -3.0928 5.5367 4.7302
Pb 1.5586 2.8793 4.7302
Pb 3.2728 0.0899 1.5767
Pb 1.5342 8.2362 4.7302
Pb 3.2485 5.4468 1.5767
Pb 7.8998 2.7894 1.5767
```

Results
The calculation puts the formation energy at -0.255 eV/atom. The space-group type is P6_3/m, No. 176. Its density of states at the Fermi level is 4.3 states/eV per cell. The magnetization is 0.00 μB per cell. The theoretical density comes out at 8.16 g/cm³.


A relaxed structure of FeNiP. Source: Alexandria via LeMat-Bulk, functional PBE-GGA.

Cell and atoms, written as extended XYZ:
```
3
Lattice="-1.3679 1.3679 4.3396 1.3679 -1.3679 4.3396 1.3679 1.3679 -4.3396" Properties=species:S:1:pos:R:3 pbc="T T T"
Fe 0.0000 0.0000 0.0000
Ni 0.0000 0.0000 2.5281
P 0.0000 0.0000 5.4879
```

Results
The calculation puts the formation energy at -0.153 eV/atom. The space-group type is I4mm, No. 107. Its density of states at the Fermi level is 3.7 states/eV per cell. The magnetization is 0.00 μB per cell. The theoretical density comes out at 7.44 g/cm³.


A relaxed structure of Pa6Te12S. Source: Alexandria via LeMat-Bulk, functional PBE-GGA.

Cell and atoms, written as extended XYZ:
```
19
Lattice="5.3154 3.0689 5.9514 -5.3154 3.0689 5.9514 0.0000 -6.1377 5.9514" Properties=species:S:1:pos:R:3 pbc="T T T"
Pa 0.0000 -2.6572 7.2242
Pa -2.3012 1.3286 7.2242
Pa -2.3012 -1.3286 10.6300
Pa 2.3012 1.3286 7.2242
Pa 2.3012 -1.3286 10.6300
Pa 0.0000 2.6572 10.6300
Te 0.0000 -4.0352 4.4423
Te -3.4946 2.0176 4.4423
Te -2.9602 -1.7091 7.6347
Te -3.4946 -2.0176 13.4119
Te 0.0000 -3.4182 10.2195
Te -2.9602 1.7091 10.2195
Te 2.9602 -1.7091 7.6347
Te 0.0000 3.4182 7.6347
Te 3.4946 2.0176 4.4423
Te 2.9602 1.7091 10.2195
Te 3.4946 -2.0176 13.4119
Te 0.0000 4.0352 13.4119
S 0.0000 0.0000 8.9271
```

Results
The formation energy without anion corrections is -12.65 eV/f.u. The space-group type is R-3m, No. 166. Its density of states at the Fermi level is 21.0 states/eV per cell. The magnetization is 3.25 μB per cell. The theoretical density comes out at 8.41 g/cm³.


A relaxed structure of TbTmZnCr. Source: Alexandria via LeMat-Bulk, functional PBE-GGA.

Cell and atoms, written as extended XYZ:
```
4
Lattice="0.0000 3.5493 3.5493 3.5493 0.0000 3.5493 3.5493 3.5493 0.0000" Properties=species:S:1:pos:R:3 pbc="T T T"
Tb 0.0000 0.0000 0.0000
Tm 3.5493 3.5493 3.5493
Zn 5.3239 5.3239 5.3239
Cr 1.7746 1.7746 1.7746
```

Results
The calculation puts the formation energy at 0.005 eV/atom. The space-group type is F-43m, No. 216. Its density of states at the Fermi level is 1.5 states/eV per cell. The magnetization is 3.46 μB per cell. The theoretical density comes out at 8.27 g/cm³.


A relaxed structure of NdSm2Ho2Th2. Source: Alexandria via LeMat-Bulk, functional PBE-GGA.

Cell and atoms, written as extended XYZ:
```
7
Lattice="5.8062 -1.7208 0.0000 5.8062 1.7208 0.0000 -2.6709 0.0000 11.7353" Properties=species:S:1:pos:R:3 pbc="T T T"
Nd 0.0000 0.0000 0.0000
Sm 3.0526 0.0000 1.6388
Sm 5.8890 0.0000 10.0965
Ho 2.8718 0.0000 5.0705
Ho 6.0698 0.0000 6.6647
Th 2.7784 0.0000 8.4607
Th 6.1631 0.0000 3.2746
```

Results
The calculation puts the formation energy at 0.192 eV/atom. The space-group type is C2/m, No. 12. Its density of states at the Fermi level is 11.4 states/eV per cell. The magnetization is 0.00 μB per cell. The theoretical density comes out at 8.77 g/cm³.


A relaxed structure of BaP2SF. Source: Alexandria via LeMat-Bulk, functional PBE-GGA.

Cell and atoms, written as extended XYZ:
```
5
Lattice="6.5380 0.0000 0.0000 0.0000 6.5380 0.0000 0.0000 0.0000 6.1149" Properties=species:S:1:pos:R:3 pbc="T T T"
Ba 0.0000 0.0000 0.0000
P 0.0000 3.2690 0.0000
P 3.2690 0.0000 0.0000
S 0.0000 0.0000 3.0574
F 3.2690 3.2690 3.0574
```

Results
The formation energy without anion corrections is 4.58 eV/f.u. The space-group type is P4/mmm, No. 123. Its density of states at the Fermi level is 16.2 states/eV per cell. Its energy above the most stable polymorph in this dataset is 1157.4 meV per atom. The magnetization is 3.43 μB per cell. The theoretical density comes out at 1.59 g/cm³.


The highest theoretical density belongs to which entry?
BeRh5